VASP calculation (GGA+U) on a relaxed VCoO crystal.

Output
The distance to the lowest polymorph of the same formula is 63 meV/atom. The value obtained for the magnetization is 1.68 μB per formula unit. As for the total energy: -6.308 eV per atom.

Cell: 4.153 2.983 5.756 Å, 90.00 95.93 90.00°
Space group Pm (No. 6)
Asymmetric unit:
V 0.000 0.000 0.000 x1
V 0.410 0.000 0.404 x1
Co 0.464 0.500 0.808 x1
Co 0.942 0.500 0.588 x1
O 0.094 0.500 0.259 x1
O 0.527 0.000 0.050 x1